Entry from Alexandria via LeMat-Bulk: a geometry-optimized Er4NiAg structure (PBE).

a b c (Å): 13.2348 13.2348 13.2348
angles (deg): 90.00 90.00 90.00
Space group F-43m (No. 216)
Unique sites:
Er 0.0000 0.0000 0.1858 [24 per cell]
Er 0.0613 0.2500 0.7500 [24 per cell]
Er 0.1005 0.1005 0.3995 [16 per cell]
Ni 0.1068 0.1068 0.6068 [16 per cell]
Ag 0.1677 0.1677 0.1677 [16 per cell]

Results
- formation enthalpy at 0 K (meV/atom) = -307
- energy above the lowest structure with this stoichiometry (meV per atom) = 0
- size of the total moment (μB/cell) = 0.00
- E_tot (eV per atom) = -4.788
- DOS at the Fermi energy (states/eV/f.u.) = 5.4